# 1
# Zn2HgBr

A relaxed Zn2HgBr crystal (GGA-PBEsol, Alexandria via LeMat-Bulk).

The structure in CIF format:
```
data_Zn2HgBr
_chemical_formula_sum 'Zn2 Hg1 Br1'
_cell_length_a 3.422
_cell_length_b 3.422
_cell_length_c 8.167
_cell_angle_alpha 90.00
_cell_angle_beta 90.00
_cell_angle_gamma 115.05
_space_group_name_H-M_alt 'P 1'
_space_group_IT_number 1
loop_
_space_group_symop_operation_xyz
'x,y,z'
loop_
_atom_site_label
_atom_site_type_symbol
_atom_site_fract_x
_atom_site_fract_y
_atom_site_fract_z
_atom_site_occupancy
Zn1 Zn 0.000 0.000 0.000 1
Zn2 Zn 0.500 0.500 0.213 1
Hg1 Hg 0.000 0.000 0.457 1
Br1 Br 0.500 0.500 0.784 1
```

Computed properties:
The energy above the most stable polymorph in this dataset is 68 meV/atom. The raw total energy comes out at -1.4166 eV per atom. The mass density is 7.884 g cm⁻³. As for the space group: Cmm2 (35). Its formation energy without anion corrections is -0.016 eV per atom.

---

# 2
# Zn2HgBr

A relaxed Zn2HgBr crystal (GGA-PBEsol, Alexandria via LeMat-Bulk).

The structure in CIF format:
```
data_Zn2HgBr
_chemical_formula_sum 'Zn2 Hg1 Br1'
_cell_length_a 3.249
_cell_length_b 3.249
_cell_length_c 7.754
_cell_angle_alpha 90.00
_cell_angle_beta 90.00
_cell_angle_gamma 90.00
_space_group_name_H-M_alt 'P 1'
_space_group_IT_number 1
loop_
_space_group_symop_operation_xyz
'x,y,z'
loop_
_atom_site_label
_atom_site_type_symbol
_atom_site_fract_x
_atom_site_fract_y
_atom_site_fract_z
_atom_site_occupancy
Zn1 Zn 0.000 0.000 0.000 1
Zn2 Zn 0.500 0.500 0.201 1
Hg1 Hg 0.500 0.500 0.758 1
Br1 Br 0.000 0.000 0.407 1
```

Computed properties:
The energy above the most stable polymorph in this dataset is 104 meV/atom. The raw total energy comes out at -1.3803 eV per atom. The mass density is 8.346 g cm⁻³. As for the space group: P4mm (99). Its formation energy without anion corrections is 0.020 eV per atom.

---

# 3
# Zn2HgBr

A relaxed Zn2HgBr crystal (GGA-PBEsol, Alexandria via LeMat-Bulk).

The structure in CIF format:
```
data_Zn2HgBr
_chemical_formula_sum 'Zn2 Hg1 Br1'
_cell_length_a 3.303
_cell_length_b 3.303
_cell_length_c 7.293
_cell_angle_alpha 90.00
_cell_angle_beta 90.00
_cell_angle_gamma 90.00
_space_group_name_H-M_alt 'P 1'
_space_group_IT_number 1
loop_
_space_group_symop_operation_xyz
'x,y,z'
loop_
_atom_site_label
_atom_site_type_symbol
_atom_site_fract_x
_atom_site_fract_y
_atom_site_fract_z
_atom_site_occupancy
Zn1 Zn 0.000 0.000 0.243 1
Zn2 Zn 0.000 0.000 0.757 1
Hg1 Hg 0.500 0.500 0.000 1
Br1 Br 0.500 0.500 0.500 1
```

Computed properties:
The energy above the most stable polymorph in this dataset is 158 meV/atom. The raw total energy comes out at -1.3264 eV per atom. The mass density is 8.584 g cm⁻³. As for the space group: P4/mmm (123). Its formation energy without anion corrections is 0.074 eV per atom.

---

# 4
# Zn2HgBr

A relaxed Zn2HgBr crystal (GGA-PBEsol, Alexandria via LeMat-Bulk).

The structure in CIF format:
```
data_Zn2HgBr
_chemical_formula_sum 'Zn2 Hg1 Br1'
_cell_length_a 4.880
_cell_length_b 4.880
_cell_length_c 7.112
_cell_angle_alpha 123.73
_cell_angle_beta 123.73
_cell_angle_gamma 43.26
_space_group_name_H-M_alt 'P 1'
_space_group_IT_number 1
loop_
_space_group_symop_operation_xyz
'x,y,z'
loop_
_atom_site_label
_atom_site_type_symbol
_atom_site_fract_x
_atom_site_fract_y
_atom_site_fract_z
_atom_site_occupancy
Zn1 Zn 0.224 0.224 0.352 1
Zn2 Zn 0.776 0.776 0.648 1
Hg1 Hg 0.000 0.000 0.500 1
Br1 Br 0.500 0.500 0.000 1
```

Computed properties:
The energy above the most stable polymorph in this dataset is 0 meV/atom. The raw total energy comes out at -1.4844 eV per atom. The mass density is 7.336 g cm⁻³. As for the space group: C2/m (12). Its formation energy without anion corrections is -0.084 eV per atom.

---

# 5
# ZrHg3Br

A relaxed ZrHg3Br crystal (GGA-PBEsol, Alexandria via LeMat-Bulk).

The structure in CIF format:
```
data_ZrHg3Br
_chemical_formula_sum 'Zr1 Hg3 Br1'
_cell_length_a 5.523
_cell_length_b 5.523
_cell_length_c 5.523
_cell_angle_alpha 90.00
_cell_angle_beta 90.00
_cell_angle_gamma 90.00
_space_group_name_H-M_alt 'P 1'
_space_group_IT_number 1
loop_
_space_group_symop_operation_xyz
'x,y,z'
loop_
_atom_site_label
_atom_site_type_symbol
_atom_site_fract_x
_atom_site_fract_y
_atom_site_fract_z
_atom_site_occupancy
Zr1 Zr 0.000 0.000 0.000 1
Hg1 Hg 0.000 0.000 0.500 1
Hg2 Hg 0.000 0.500 0.000 1
Hg3 Hg 0.500 0.000 0.000 1
Br1 Br 0.500 0.500 0.500 1
```

Computed properties:
The raw total energy comes out at -2.0886 eV per atom. The mass density is 7.617 g cm⁻³. As for the space group: Pm-3m (221). Its formation energy without anion corrections is 0.444 eV per atom.

---

# 6
# Zr2HgBr2

A relaxed Zr2HgBr2 crystal (GGA-PBEsol, Alexandria via LeMat-Bulk).

The structure in CIF format:
```
data_Zr2HgBr2
_chemical_formula_sum 'Zr2 Hg1 Br2'
_cell_length_a 7.078
_cell_length_b 7.078
_cell_length_c 7.078
_cell_angle_alpha 145.14
_cell_angle_beta 145.14
_cell_angle_gamma 50.13
_space_group_name_H-M_alt 'P 1'
_space_group_IT_number 1
loop_
_space_group_symop_operation_xyz
'x,y,z'
loop_
_atom_site_label
_atom_site_type_symbol
_atom_site_fract_x
_atom_site_fract_y
_atom_site_fract_z
_atom_site_occupancy
Zr1 Zr 0.109 0.109 0.000 1
Zr2 Zr 0.891 0.891 0.000 1
Hg1 Hg 0.500 0.500 0.000 1
Br1 Br 0.250 0.750 0.500 1
Br2 Br 0.750 0.250 0.500 1
```

Computed properties:
The raw total energy comes out at -4.7581 eV per atom. The mass density is 7.819 g cm⁻³. As for the space group: I4/mmm (139). Its formation energy without anion corrections is -0.261 eV per atom.